This record from Alexandria describes TcMoRh2 after structural relaxation. The functional is GGA-PBE.

```
TcMoRh2
1.0
9.101 -0.019 -0.011
8.693 2.696 -0.011
8.693 1.308 2.357
Mo Rh Tc
1 2 1
direct
0.750 0.750 0.750
0.999 0.999 0.999
0.501 0.501 0.501
0.250 0.250 0.250
```

Output
For the polymorph energy (0 for the lowest one), the calculation gives 0.1688 eV per atom. The density is 11.347 g/cm3. Its total magnetic moment is 0.000 μB per formula unit. The calculation puts the formation energy at -0.040 eV/atom. The total energy is -36.06 eV/f.u.